(1)
The following is a PBE calculation of crystalline NaLiRe2 at its relaxed geometry, from the Alexandria database.

Cell lengths 6.187, 6.187, 6.187 Å; angles 90.00, 90.00, 90.00 degrees
Space group Fm-3m (No. 225)
Symmetry-distinct sites (fractional):
Na 0.000 0.000 0.000
Li 0.000 0.000 0.500
Re 0.250 0.250 0.250

Properties
Energy relative to the elements (meV/atom): 1705
ΔE to the lowest computed polymorph (eV per formula unit): 3.49
M_tot (μB/f.u.): 1.3
Volume (Å³ per cell): 237

---

(2)
The following is a PBE calculation of crystalline NaLiRe2 at its relaxed geometry, from the Alexandria database.

Cell lengths 3.607, 3.607, 21.004 Å; angles 90.00, 90.00, 90.00 degrees
Space group I-42d (No. 122)
Symmetry-distinct sites (fractional):
Na 0.000 0.000 0.000
Li 0.000 0.000 0.500
Re 0.236 0.750 0.625

Properties
Energy relative to the elements (meV/atom): 831
ΔE to the lowest computed polymorph (eV per formula unit): 0.00
M_tot (μB/f.u.): 0.0
Volume (Å³ per cell): 273

---

(3)
The following is a PBE calculation of crystalline Na3LiRe at its relaxed geometry, from the Alexandria database.

Cell lengths 5.183, 5.183, 5.183 Å; angles 90.00, 90.00, 90.00 degrees
Space group Pm-3m (No. 221)
Symmetry-distinct sites (fractional):
Na 0.000 0.000 0.500
Li 0.000 0.000 0.000
Re 0.500 0.500 0.500

Properties
Energy relative to the elements (meV/atom): 1429
ΔE to the lowest computed polymorph (eV per formula unit): 0.22
M_tot (μB/f.u.): 3.7
Volume (Å³ per cell): 139

---

(4)
The following is a PBE calculation of crystalline NaLi2Re at its relaxed geometry, from the Alexandria database.

Cell lengths 7.022, 7.022, 5.808 Å; angles 90.00, 90.00, 90.00 degrees
Space group I-42d (No. 122)
Symmetry-distinct sites (fractional):
Na 0.000 0.000 0.000
Li 0.247 0.750 0.125
Re 0.000 0.000 0.500

Properties
Energy relative to the elements (meV/atom): 1188
ΔE to the lowest computed polymorph (eV per formula unit): 0.54
M_tot (μB/f.u.): 2.4
Volume (Å³ per cell): 286

---

(5)
The following is a PBE calculation of crystalline NaLi2Re at its relaxed geometry, from the Alexandria database.

Cell lengths 6.562, 6.562, 6.562 Å; angles 90.00, 90.00, 90.00 degrees
Space group Fm-3m (No. 225)
Symmetry-distinct sites (fractional):
Na 0.000 0.000 0.000
Li 0.250 0.250 0.250
Re 0.000 0.000 0.500

Properties
Energy relative to the elements (meV/atom): 1053
ΔE to the lowest computed polymorph (eV per formula unit): 0.00
M_tot (μB/f.u.): 2.3
Volume (Å³ per cell): 283

---

(6)
The following is a PBE calculation of crystalline NaLi3Re at its relaxed geometry, from the Alexandria database.

Cell lengths 5.069, 5.069, 5.069 Å; angles 90.00, 90.00, 90.00 degrees
Space group Pm-3m (No. 221)
Symmetry-distinct sites (fractional):
Na 0.000 0.000 0.000
Li 0.000 0.500 0.500
Re 0.500 0.500 0.500

Properties
Energy relative to the elements (meV/atom): 1133
ΔE to the lowest computed polymorph (eV per formula unit): 0.00
M_tot (μB/f.u.): 2.6
Volume (Å³ per cell): 130

---

(7)
The following is a PBE calculation of crystalline Na3LiRe at its relaxed geometry, from the Alexandria database.

Cell lengths 5.837, 5.837, 5.837 Å; angles 90.00, 90.00, 90.00 degrees
Space group Pm-3m (No. 221)
Symmetry-distinct sites (fractional):
Na 0.000 0.000 0.500
Li 0.500 0.500 0.500
Re 0.000 0.000 0.000

Properties
Energy relative to the elements (meV/atom): 1385
ΔE to the lowest computed polymorph (eV per formula unit): 0.00
M_tot (μB/f.u.): 3.5
Volume (Å³ per cell): 199

---

(8)
The following is a PBE calculation of crystalline NaLiRe2Sb at its relaxed geometry, from the Alexandria database.

Cell lengths 5.000, 5.000, 5.487 Å; angles 90.00, 90.00, 90.00 degrees
Space group P4/mmm (No. 123)
Symmetry-distinct sites (fractional):
Na 0.000 0.000 0.000
Li 0.500 0.500 0.000
Re 0.000 0.500 0.500
Sb 0.000 0.000 0.500

Properties
Formation energy (no corrections) (meV/atom): 1704
M_tot (μB/f.u.): 3.3
Volume (Å³ per cell): 137

---

(9)
The following is a PBE calculation of crystalline Na2LiReSb at its relaxed geometry, from the Alexandria database.

Cell lengths 5.666, 5.666, 4.933 Å; angles 90.00, 90.00, 90.00 degrees
Space group P4/mmm (No. 123)
Symmetry-distinct sites (fractional):
Na 0.000 0.500 0.000
Li 0.000 0.000 0.500
Re 0.000 0.000 0.000
Sb 0.500 0.500 0.500

Properties
Formation energy (no corrections) (meV/atom): 1366
M_tot (μB/f.u.): 4.5
Volume (Å³ per cell): 158

---

(10)
The following is a PBE calculation of crystalline NaLiReSe2 at its relaxed geometry, from the Alexandria database.

Cell lengths 5.030, 5.030, 3.922 Å; angles 90.00, 90.00, 90.00 degrees
Space group P4/mmm (No. 123)
Symmetry-distinct sites (fractional):
Na 0.000 0.000 0.000
Li 0.000 0.000 0.500
Re 0.500 0.500 0.500
Se 0.000 0.500 0.000

Properties
Formation energy (no corrections) (meV/atom): 993
M_tot (μB/f.u.): 3.2
Volume (Å³ per cell): 99

---

(11)
The following is a PBE calculation of crystalline NaLiZnRe2 at its relaxed geometry, from the Alexandria database.

Cell lengths 4.641, 4.641, 5.089 Å; angles 90.00, 90.00, 90.00 degrees
Space group P4/mmm (No. 123)
Symmetry-distinct sites (fractional):
Na 0.000 0.000 0.000
Li 0.500 0.500 0.000
Zn 0.000 0.000 0.500
Re 0.000 0.500 0.500

Properties
Energy relative to the elements (meV/atom): 1771
M_tot (μB/f.u.): 3.6
Volume (Å³ per cell): 110

---

(12)
The following is a PBE calculation of crystalline NaLi2Rh at its relaxed geometry, from the Alexandria database.

Cell lengths 2.8671, 2.8671, 30.3889 Å; angles 90.00, 90.00, 120.00 degrees
Space group R-3m (No. 166, hexagonal axes)
Symmetry-distinct sites (fractional):
Na 0.0000 0.0000 0.0000
Li 0.0000 0.0000 0.1012
Rh 0.0000 0.0000 0.5000

Properties
Energy relative to the elements (meV/atom): 56
ΔE to the lowest computed polymorph (eV per formula unit): 0.04
M_tot (μB/f.u.): 0.3
Volume (Å³ per cell): 216

---

(13)
The following is a PBE calculation of crystalline NaLi3Rh at its relaxed geometry, from the Alexandria database.

Cell lengths 4.766, 4.766, 4.766 Å; angles 90.00, 90.00, 90.00 degrees
Space group Pm-3m (No. 221)
Symmetry-distinct sites (fractional):
Na 0.000 0.000 0.000
Li 0.000 0.500 0.500
Rh 0.500 0.500 0.500

Properties
Energy relative to the elements (meV/atom): 144
ΔE to the lowest computed polymorph (eV per formula unit): 0.00
M_tot (μB/f.u.): 0.0
Volume (Å³ per cell): 108

---

(14)
The following is a PBE calculation of crystalline NaLiRh at its relaxed geometry, from the Alexandria database.

Cell lengths 4.659, 10.377, 4.593 Å; angles 90.00, 98.13, 90.00 degrees
Space group C2/c (No. 15)
Symmetry-distinct sites (fractional):
Na 0.000 0.248 0.250
Li 0.000 0.059 0.750
Rh 0.000 0.457 0.750

Properties
Energy relative to the elements (meV/atom): 75
ΔE to the lowest computed polymorph (eV per formula unit): 0.10
M_tot (μB/f.u.): 0.0
Volume (Å³ per cell): 220

---

(15)
The following is a PBE calculation of crystalline Na2LiRh at its relaxed geometry, from the Alexandria database.

Cell lengths 6.822, 6.822, 6.822 Å; angles 90.00, 90.00, 90.00 degrees
Space group Fm-3m (No. 225)
Symmetry-distinct sites (fractional):
Na 0.250 0.250 0.250
Li 0.000 0.000 0.000
Rh 0.000 0.000 0.500

Properties
Energy relative to the elements (meV/atom): 325
ΔE to the lowest computed polymorph (eV per formula unit): 0.00
M_tot (μB/f.u.): 0.0
Volume (Å³ per cell): 317

---

(16)
The following is a PBE calculation of crystalline NaLi2Rh at its relaxed geometry, from the Alexandria database.

Cell lengths 3.991, 3.991, 18.066 Å; angles 90.00, 90.00, 90.00 degrees
Space group I-42d (No. 122)
Symmetry-distinct sites (fractional):
Na 0.000 0.000 0.000
Li 0.210 0.250 0.625
Rh 0.000 0.000 0.500

Properties
Energy relative to the elements (meV/atom): 315
ΔE to the lowest computed polymorph (eV per formula unit): 1.07
M_tot (μB/f.u.): 0.0
Volume (Å³ per cell): 288

---

(17)
The following is a PBE calculation of crystalline Na2Li2Rh at its relaxed geometry, from the Alexandria database.

Cell lengths 6.429, 6.429, 4.982 Å; angles 90.00, 90.00, 90.00 degrees
Space group P4/mbm (No. 127)
Symmetry-distinct sites (fractional):
Na 0.192 0.308 0.000
Li 0.151 0.651 0.500
Rh 0.000 0.000 0.500

Properties
Energy relative to the elements (meV/atom): 190
ΔE to the lowest computed polymorph (eV per formula unit): 0.00
M_tot (μB/f.u.): 0.0
Volume (Å³ per cell): 206

---

(18)
The following is a PBE calculation of crystalline Na2LiRh at its relaxed geometry, from the Alexandria database.

Cell lengths 3.893, 3.893, 20.395 Å; angles 90.00, 90.00, 90.00 degrees
Space group I-42d (No. 122)
Symmetry-distinct sites (fractional):
Na 0.247 0.250 0.125
Li 0.000 0.000 0.500
Rh 0.000 0.000 0.000

Properties
Energy relative to the elements (meV/atom): 388
ΔE to the lowest computed polymorph (eV per formula unit): 0.25
M_tot (μB/f.u.): 0.0
Volume (Å³ per cell): 309

---

(19)
The following is a PBE calculation of crystalline NaLiRh at its relaxed geometry, from the Alexandria database.

Cell lengths 9.216, 4.961, 6.561 Å; angles 90.00, 128.36, 90.00 degrees
Space group C2/m (No. 12)
Symmetry-distinct sites (fractional):
Na 0.169 0.000 0.017
Li 0.197 0.500 0.383
Rh 0.000 0.250 0.500

Properties
Energy relative to the elements (meV/atom): 89
ΔE to the lowest computed polymorph (eV per formula unit): 0.14
M_tot (μB/f.u.): 0.0
Volume (Å³ per cell): 235

---

(20)
The following is a PBE calculation of crystalline NaLiRh at its relaxed geometry, from the Alexandria database.

Cell lengths 15.071, 2.808, 4.863 Å; angles 90.00, 90.00, 90.00 degrees
Space group Amm2 (No. 38)
Symmetry-distinct sites (fractional):
Na 0.195 0.000 0.000
Li 0.000 0.000 0.669
Li 0.500 0.000 0.999
Rh 0.358 0.000 0.666

Properties
Energy relative to the elements (meV/atom): 157
ΔE to the lowest computed polymorph (eV per formula unit): 0.35
M_tot (μB/f.u.): 0.5
Volume (Å³ per cell): 206

---

(21)
The following is a PBE calculation of crystalline NaLiRh at its relaxed geometry, from the Alexandria database.

Cell lengths 4.393, 10.055, 4.998 Å; angles 90.00, 90.00, 90.00 degrees
Space group Cmc2_1 (No. 36)
Symmetry-distinct sites (fractional):
Na 0.000 0.218 0.000
Li 0.000 0.062 0.500
Rh 0.000 0.500 0.249

Properties
Energy relative to the elements (meV/atom): 69
ΔE to the lowest computed polymorph (eV per formula unit): 0.08
M_tot (μB/f.u.): 0.0
Volume (Å³ per cell): 221

---

(22)
The following is a PBE calculation of crystalline Na2Li2Rh at its relaxed geometry, from the Alexandria database.

Cell lengths 3.825, 3.825, 12.832 Å; angles 90.00, 90.00, 90.00 degrees
Space group I4/mmm (No. 139)
Symmetry-distinct sites (fractional):
Na 0.000 0.500 0.250
Li 0.000 0.000 0.080
Rh 0.000 0.000 0.500

Properties
Energy relative to the elements (meV/atom): 457
ΔE to the lowest computed polymorph (eV per formula unit): 1.33
M_tot (μB/f.u.): 0.0
Volume (Å³ per cell): 188

---

(23)
The following is a PBE calculation of crystalline NaLi2Rh at its relaxed geometry, from the Alexandria database.

Cell lengths 4.715, 4.715, 2.831 Å; angles 90.00, 90.00, 90.00 degrees
Space group P4/mmm (No. 123)
Symmetry-distinct sites (fractional):
Na 0.000 0.000 0.000
Li 0.000 0.500 0.500
Rh 0.500 0.500 0.000

Properties
Energy relative to the elements (meV/atom): 78
ΔE to the lowest computed polymorph (eV per formula unit): 0.12
M_tot (μB/f.u.): 0.3
Volume (Å³ per cell): 63

---

(24)
The following is a PBE calculation of crystalline NaLi2Rh at its relaxed geometry, from the Alexandria database.

Cell lengths 6.359, 6.359, 6.359 Å; angles 90.00, 90.00, 90.00 degrees
Space group Fm-3m (No. 225)
Symmetry-distinct sites (fractional):
Na 0.000 0.000 0.000
Li 0.250 0.250 0.250
Rh 0.000 0.000 0.500

Properties
Energy relative to the elements (meV/atom): 107
ΔE to the lowest computed polymorph (eV per formula unit): 0.24
M_tot (μB/f.u.): 0.0
Volume (Å³ per cell): 257

---

(25)
The following is a PBE calculation of crystalline NaLi2Rh at its relaxed geometry, from the Alexandria database.

Cell lengths 3.201, 3.201, 6.712 Å; angles 90.00, 90.00, 90.00 degrees
Space group P4/mmm (No. 123)
Symmetry-distinct sites (fractional):
Na 0.000 0.000 0.000
Li 0.500 0.500 0.318
Rh 0.000 0.000 0.500

Properties
Energy relative to the elements (meV/atom): 47
ΔE to the lowest computed polymorph (eV per formula unit): 0.00
M_tot (μB/f.u.): 0.0
Volume (Å³ per cell): 69

---

(26)
The following is a PBE calculation of crystalline NaLiRh at its relaxed geometry, from the Alexandria database.

Cell lengths 5.004, 5.497, 7.729 Å; angles 90.00, 90.00, 90.00 degrees
Space group Imma (No. 74)
Symmetry-distinct sites (fractional):
Na 0.000 0.250 0.117
Li 0.000 0.000 0.500
Rh 0.250 0.250 0.750

Properties
Energy relative to the elements (meV/atom): 42
ΔE to the lowest computed polymorph (eV per formula unit): 0.00
M_tot (μB/f.u.): 0.0
Volume (Å³ per cell): 213

---

(27)
The following is a PBE calculation of crystalline NaLiRh at its relaxed geometry, from the Alexandria database.

Cell lengths 4.583, 4.839, 5.448 Å; angles 63.90, 89.58, 89.09 degrees
Space group P1 (No. 1)
Symmetry-distinct sites (fractional):
Na 0.000 0.000 0.000
Na 0.001 0.337 0.324
Li 0.501 0.176 0.646
Li 0.501 0.512 0.977
Rh 0.499 0.776 0.444
Rh 0.998 0.684 0.632

Properties
Energy relative to the elements (meV/atom): 104
ΔE to the lowest computed polymorph (eV per formula unit): 0.19
M_tot (μB/f.u.): 0.0
Volume (Å³ per cell): 108